1.
Here is an optimized crystal structure of Li2PtI from Alexandria. Energies are from PBE.

Unit cell a=6.6056 b=6.6056 c=6.6056 alpha=90.00 beta=90.00 gamma=90.00
Last column: nearest neighbours and their distance in Å.
Space group Fm-3m (No. 225)
Symmetry-distinct sites (fractional):
Li  0.2500  0.2500  0.2500 x8  4 I 2.86, 4 Pt 2.86
Pt  0.0000  0.0000  0.0000 x4  8 Li 2.86
I  0.0000  0.0000  0.5000 x4  8 Li 2.86

Output
Calculated density, g/cm3: 7.7
Formation energy without anion corrections, meV per atom: -308
Polymorph energy (0 for the lowest one), meV per atom: 35

2.
Here is an optimized crystal structure of RbTe2IrN from Alexandria. Energies are from PBE.

Unit cell a=5.9739 b=5.9739 c=4.1717 alpha=90.00 beta=90.00 gamma=90.00
Last column: nearest neighbours and their distance in Å.
Space group P4/mmm (No. 123)
Symmetry-distinct sites (fractional):
Rb  0.0000  0.0000  0.0000 x1  2 N 2.09
Te  0.0000  0.5000  0.0000 x2  2 Rb 2.99
Ir  0.5000  0.5000  0.5000 x1  8 Te 3.64
N  0.0000  0.0000  0.5000 x1  2 Rb 2.09

Output
Calculated density, g/cm3: 6.1
Formation energy without anion corrections, meV per atom: 2573
Polymorph energy (0 for the lowest one), meV per atom: 2539

3.
Here is an optimized crystal structure of NbCrRu3 from Alexandria. Energies are from PBE.

Unit cell a=4.6444 b=4.6444 c=4.6444 alpha=90.00 beta=90.00 gamma=90.00
Last column: nearest neighbours and their distance in Å.
Space group Pm-3m (No. 221)
Symmetry-distinct sites (fractional):
Nb  0.0000  0.0000  0.0000 x1  6 Ru 2.32
Cr  0.5000  0.5000  0.5000 x1  12 Ru 3.28
Ru  0.0000  0.0000  0.5000 x3  2 Nb 2.32

Output
Calculated density, g/cm3: 7.4
Formation energy from the elements, eV/atom: 1.948
Polymorph energy (0 for the lowest one), meV per atom: 952

4.
Here is an optimized crystal structure of AlSi2C from Alexandria. Energies are from PBE.

Unit cell a=5.9671 b=5.9671 c=5.9671 alpha=90.00 beta=90.00 gamma=90.00
Last column: nearest neighbours and their distance in Å.
Space group Fm-3m (No. 225)
Symmetry-distinct sites (fractional):
Al  0.0000  0.0000  0.0000 x4  8 Si 2.58
Si  0.2500  0.2500  0.2500 x8  4 Al 2.58, 4 C 2.58
C  0.0000  0.0000  0.5000 x4  8 Si 2.58

Output
Calculated density, g/cm3: 3.0
Formation energy without anion corrections, meV per atom: 1414
Polymorph energy (0 for the lowest one), meV per atom: 1015

5.
Here is an optimized crystal structure of Na3TlSe2 from Alexandria. Energies are from PBE.

Unit cell a=7.3142 b=14.4825 c=6.9273 alpha=90.00 beta=90.00 gamma=90.00
Last column: nearest neighbours and their distance in Å.
Space group Ibam (No. 72)
Symmetry-distinct sites (fractional):
Na  0.0000  0.0000  0.2500 x4  4 Se 3.07
Na  0.0000  0.2633  0.2500 x8  4 Se 2.89-3.10
Tl  0.0000  0.5000  0.0000 x4  2 Se 2.98
Se  0.2038  0.1412  0.0000 x8  6 Na 2.89-3.10, 1 Tl 2.98

Output
Calculated density, g/cm3: 3.9
Formation energy without anion corrections, meV per atom: -769

6.
Here is an optimized crystal structure of La4Sm4Y3 from Alexandria. Energies are from PBE.

Unit cell a=3.6901 b=9.6264 c=22.0404 alpha=90.00 beta=90.00 gamma=90.00
Last column: nearest neighbours and their distance in Å.
Space group Immm (No. 71)
Symmetry-distinct sites (fractional):
La  0.0000  0.1686  0.1449 x8  1 La 3.25, 3 Sm 3.48-3.62
Sm  0.0000  0.3125  0.0000 x4  6 Y 3.45-3.53, 2 La 3.48, 3 Sm 3.61-3.69
Sm  0.0000  0.5000  0.2345 x4  2 Y 3.42, 6 La 3.62-3.75, 2 Sm 3.69
Y  0.0000  0.0000  0.3963 x4  6 Sm 3.42-3.45, 2 Y 3.69, 4 La 3.80
Y  0.0000  0.5000  0.5000 x2  4 Sm 3.53, 2 Y 3.69

Output
Calculated density, g/cm3: 6.0
Formation energy from the elements, eV/atom: 0.116
Polymorph energy (0 for the lowest one), meV per atom: 68